Density functional theory data (PBE) for a geometry-optimized FeTc3 structure.

Cell and atoms, written as CIF:
```
data_FeTc3
_chemical_formula_sum 'Fe2 Tc6'
_symmetry_space_group_name_H-M 'P m m n'
_symmetry_Int_Tables_number 59
_cell_length_a 4.3368
_cell_length_b 5.4016
_cell_length_c 4.6677
_cell_angle_alpha 90.00
_cell_angle_beta 90.00
_cell_angle_gamma 90.00
loop_
_symmetry_equiv_pos_as_xyz
'x,y,z'
'-x,-y,-z'
'-x+1/2,-y+1/2,z'
'x+1/2,y+1/2,-z'
'x+1/2,-y,-z'
'-x+1/2,y,z'
'-x,y+1/2,-z'
'x,-y+1/2,z'
loop_
_atom_site_label
_atom_site_type_symbol
_atom_site_fract_x
_atom_site_fract_y
_atom_site_fract_z
Fe1 Fe 0.2500 0.2500 0.1713
Tc1 Tc 0.2500 0.0013 0.6703
Tc2 Tc 0.2500 0.7500 0.1618
```

Computed properties:
N(E_F) in states/eV/f.u.: 4.698
ΔE_f in meV per atom: 20